Record 1
Entry from the Alexandria database: Tl3GaHg3 after structural relaxation (PBE).

The structure in CIF format:
```
data_Tl3GaHg3
_space_group_name_H-M_alt 'P m -3 n'
_space_group_IT_number 223
_space_group_name_Hall '-P 4n 2 3'
_cell_length_a 8.422
_cell_length_b 8.422
_cell_length_c 8.422
_cell_angle_alpha 90.00
_cell_angle_beta 90.00
_cell_angle_gamma 90.00
loop_
_atom_site_label
_atom_site_type_symbol
_atom_site_fract_x
_atom_site_fract_y
_atom_site_fract_z
_atom_site_occupancy
Tl1 Tl 0.000 0.250 0.500 1
Ga1 Ga 0.000 0.000 0.000 1
Hg1 Hg 0.000 0.500 0.250 1
```

=====

Record 2
Entry from the Alexandria database: CeDyZnCd after structural relaxation (PBE).

The structure in CIF format:
```
data_CeDyZnCd
_space_group_name_H-M_alt 'P 4 m m'
_space_group_IT_number 99
_space_group_name_Hall 'P 4 -2'
_cell_length_a 3.573
_cell_length_b 3.573
_cell_length_c 7.849
_cell_angle_alpha 90.00
_cell_angle_beta 90.00
_cell_angle_gamma 90.00
loop_
_atom_site_label
_atom_site_type_symbol
_atom_site_fract_x
_atom_site_fract_y
_atom_site_fract_z
_atom_site_occupancy
Ce1 Ce 0.000 0.000 0.000 1
Dy1 Dy 0.000 0.000 0.459 1
Zn1 Zn 0.500 0.500 0.244 1
Cd1 Cd 0.500 0.500 0.715 1
```

=====

Record 3
Entry from the Alexandria database: Pm7NdMg2 after structural relaxation (PBE).

The structure in CIF format:
```
data_Pm7NdMg2
_space_group_name_H-M_alt 'C m m m'
_space_group_IT_number 65
_space_group_name_Hall '-C 2 2'
_cell_length_a 8.848
_cell_length_b 16.512
_cell_length_c 5.431
_cell_angle_alpha 90.00
_cell_angle_beta 90.00
_cell_angle_gamma 90.00
loop_
_atom_site_label
_atom_site_type_symbol
_atom_site_fract_x
_atom_site_fract_y
_atom_site_fract_z
_atom_site_occupancy
Pm1 Pm 0.000 0.000 0.000 1
Pm2 Pm 0.000 0.285 0.500 1
Pm3 Pm 0.184 0.384 0.000 1
Nd1 Nd 0.000 0.500 0.500 1
Mg1 Mg 0.000 0.202 0.000 1
```

=====

Record 4
Entry from the Alexandria database: PRu2W after structural relaxation (PBE).

The structure in CIF format:
```
data_PRu2W
_space_group_name_H-M_alt 'P 4/m m m'
_space_group_IT_number 123
_space_group_name_Hall '-P 4 2'
_cell_length_a 4.016
_cell_length_b 4.016
_cell_length_c 3.507
_cell_angle_alpha 90.00
_cell_angle_beta 90.00
_cell_angle_gamma 90.00
loop_
_atom_site_label
_atom_site_type_symbol
_atom_site_fract_x
_atom_site_fract_y
_atom_site_fract_z
_atom_site_occupancy
P1 P 0.000 0.000 0.000 1
Ru1 Ru 0.000 0.500 0.500 1
W1 W 0.500 0.500 0.000 1
```

=====

Result set for energy of formation from the pure elements: 2.66; -0.96; 5.30; 0.95 eV per formula unit, one per record in the order listed.
Result set for spin magnetization: 0.000; 1.072; 0.000; 0.000 μB/f.u., one per record in the order listed.
Result set for D(E_F): 0.83; 2.15; 1.52; 1.30 states/eV per atom, one per record in the order listed.